Entry from Alexandria: a relaxed UPbIO4 crystal (PBE-GGA).

Unit cell a=9.4157 b=9.4157 c=5.8629 alpha=69.43 beta=69.43 gamma=46.04
Last column: nearest neighbours and their distance in Å.
Positions (direct):
U: 0.6066 0.6066 0.8275  4 O 1.94-2.03
U: 0.3934 0.3934 0.1725  4 O 1.94-2.03
Pb: 0.2347 0.2347 0.9286  5 O 2.33-2.52
Pb: 0.7653 0.7653 0.0714  5 O 2.33-2.52
I: 0.9775 0.9775 0.2758  2 I 3.01-3.02
I: 0.0225 0.0225 0.7242  2 I 3.01-3.02
O: 0.3340 0.3340 0.5272  1 U 1.94
O: 0.6660 0.6660 0.4728  1 U 1.94
O: 0.1312 0.5114 0.0983  1 U 2.03
O: 0.5229 0.5229 0.1767  1 U 2.01
O: 0.4886 0.8688 0.9017  1 U 2.03
O: 0.5114 0.1312 0.0983  1 U 2.03
O: 0.4771 0.4771 0.8233  1 U 2.01
O: 0.8688 0.4886 0.9017  1 U 2.03

Results
For the density of states at the Fermi level, the calculation gives 5.08 states/eV/cell. As for the total magnetization: 0.000 Bohr magnetons per cell. The formation energy from raw total energies comes out at -1.903 eV/atom. Its density is 6.11 g/cm³.